BaReAg2: optimized geometry, PBE.

Cell: 10.0308 10.0308 10.0308 Å, 149.84 149.84 43.18°
Atoms (fractional coordinates):
Ba 0.0000 0.0000 0.0000
Ba 0.7500 0.2500 0.5000
Re 0.2500 0.7500 0.5000
Re 0.5000 0.5000 0.0000
Ag 0.3408 0.6250 0.2158
Ag 0.3750 0.5908 0.7158
Ag 0.4092 0.1250 0.7842
Ag 0.8750 0.6592 0.2842

Calculated values
The symmetry is I-42d, No. 122. The total DFT energy (no corrections) comes out at -32.14 eV per cell. As for the density: 7.0 g cm⁻³. The calculation puts the calculated formation energy at 1.001 eV/atom. The value obtained for the energy above the lowest structure with this stoichiometry is 202.8 meV per atom.

CaHg6Pb3: optimized geometry, PBE.

Cell: 7.9294 7.9294 7.9294 Å, 113.78 113.78 113.78°
Atoms (fractional coordinates):
Ca 0.0000 0.0000 0.0000
Hg 0.3030 0.3030 0.9382
Hg 0.3030 0.9382 0.3030
Hg 0.3377 0.8690 0.8690
Hg 0.8690 0.3377 0.8690
Hg 0.8690 0.8690 0.3377
Hg 0.9382 0.3030 0.3030
Pb 0.4616 0.4616 0.7121
Pb 0.4616 0.7121 0.4616
Pb 0.7121 0.4616 0.4616

Calculated values
The symmetry is R3m, No. 160. The total DFT energy (no corrections) comes out at -15.14 eV per cell. As for the density: 10.1 g cm⁻³. The calculation puts the calculated formation energy at -0.020 eV/atom. The value obtained for the energy above the lowest structure with this stoichiometry is 88.5 meV per atom.

Pr7Ho4Th: optimized geometry, PBE.

Cell: 8.6513 8.6513 9.3810 Å, 113.91 113.91 41.59°
Atoms (fractional coordinates):
Pr 0.0000 0.0000 0.0000
Pr 0.2849 0.2849 0.7599
Pr 0.2934 0.2934 0.1174
Pr 0.4152 0.4152 0.5579
Pr 0.5848 0.5848 0.4421
Pr 0.7066 0.7066 0.8826
Pr 0.7151 0.7151 0.2401
Ho 0.0694 0.0694 0.6955
Ho 0.1698 0.1698 0.3775
Ho 0.8302 0.8302 0.6225
Ho 0.9306 0.9306 0.3045
Th 0.5000 0.5000 0.0000

Calculated values
The symmetry is C2/m, No. 12. The total DFT energy (no corrections) comes out at -56.38 eV per cell. As for the density: 7.4 g cm⁻³. The calculation puts the calculated formation energy at 0.234 eV/atom. The value obtained for the energy above the lowest structure with this stoichiometry is 215.2 meV per atom.

LaRePb3: optimized geometry, PBE.

Cell: 6.0523 6.0523 6.0523 Å, 90.00 90.00 90.00°
Atoms (fractional coordinates):
La 0.0000 0.0000 0.0000
Re 0.5000 0.5000 0.5000
Pb 0.0000 0.0000 0.5000
Pb 0.0000 0.5000 0.0000
Pb 0.5000 0.0000 0.0000

Calculated values
The symmetry is Pm-3m, No. 221. The total DFT energy (no corrections) comes out at -19.45 eV per cell. As for the density: 7.1 g cm⁻³. The calculation puts the calculated formation energy at 1.810 eV/atom. The value obtained for the energy above the lowest structure with this stoichiometry is 1352.7 meV per atom.

Pm2H2SBr: optimized geometry, PBE.

Cell: 3.9057 3.9057 8.3346 Å, 90.00 90.00 120.00°
Atoms (fractional coordinates):
Pm 0.3333 0.6667 0.2096
Pm 0.6667 0.3333 0.7904
H 0.3333 0.6667 0.7532
H 0.6667 0.3333 0.2468
S 0.0000 0.0000 0.0000
Br 0.0000 0.0000 0.5000

Calculated values
The symmetry is P-3m1, No. 164. The total DFT energy (no corrections) comes out at -29.77 eV per cell. As for the density: 6.1 g cm⁻³.

Ta2AlCu: optimized geometry, PBE.

Cell: 5.7177 5.7177 5.7177 Å, 102.84 102.84 123.76°
Atoms (fractional coordinates):
Ta 0.1084 0.6250 0.9834
Ta 0.3750 0.3584 0.4834
Ta 0.6416 0.1250 0.0166
Ta 0.8750 0.8916 0.5166
Al 0.2500 0.7500 0.5000
Al 0.5000 0.5000 0.0000
Cu 0.0000 0.0000 0.0000
Cu 0.7500 0.2500 0.5000

Calculated values
The symmetry is I-42d, No. 122. The total DFT energy (no corrections) comes out at -59.73 eV per cell. As for the density: 11.0 g cm⁻³. The calculation puts the calculated formation energy at 0.419 eV/atom.

LaPrTh2Rh4: optimized geometry, PBE.

Cell: 7.1161 5.8218 7.1162 Å, 65.85 48.29 65.86°
Atoms (fractional coordinates):
La 0.0000 0.0000 0.0000
Pr 0.5014 0.5014 0.4986
Th 0.2494 0.2494 0.2506
Th 0.7494 0.7494 0.7506
Rh 0.0014 0.4999 0.9986
Rh 0.2487 0.7498 0.2502
Rh 0.4999 0.0014 0.5001
Rh 0.7498 0.2487 0.7513

Calculated values
The symmetry is Fmm2, No. 42. The total DFT energy (no corrections) comes out at -59.85 eV per cell. As for the density: 9.8 g cm⁻³. The calculation puts the calculated formation energy at -0.738 eV/atom.

BeZnSe2: optimized geometry, PBE.

Cell: 5.7866 5.7866 5.7866 Å, 145.75 106.97 83.20°
Atoms (fractional coordinates):
Be 0.0000 0.0000 0.0000
Zn 0.5000 0.0000 0.5000
Se 0.2250 0.5000 0.7250
Se 0.7750 0.5000 0.2750

Calculated values
The symmetry is Immm, No. 71. The total DFT energy (no corrections) comes out at -12.32 eV per cell. Its raw formation energy is -34 kJ/mol of formula units. As for the density: 3.8 g cm⁻³. The value obtained for the energy above the lowest structure with this stoichiometry is 658.3 meV per atom.